Density functional theory data (GGA+U) for a geometry-optimized MoPI2O structure.

**D(E_F)**: 3.38 states/eV/f.u.
**Calculated density**: 5.4 g/cm3
**Electronic total energy**: -3.81 eV/atom
**Spin magnetization**: 1.2 μB per formula unit
**Energy above the lowest structure with this stoichiometry**: 154 meV/atom

CIF file:
```
data_MoPI2O
_chemical_formula_sum 'Mo1 P1 I2 O1'
_space_group_name_H-M_alt 'P 4/m m m'
_space_group_IT_number 123
_space_group_name_Hall '-P 4 2'
_cell_length_a 5.640
_cell_length_b 5.640
_cell_length_c 3.830
_cell_angle_alpha 90.00
_cell_angle_beta 90.00
_cell_angle_gamma 90.00
loop_
_atom_site_label
_atom_site_type_symbol
_atom_site_fract_x
_atom_site_fract_y
_atom_site_fract_z
Mo1 Mo 0.000 0.000 0.000
P1 P 0.500 0.500 0.500
I1 I 0.000 0.500 0.000
O1 O 0.000 0.000 0.500
```